(1)
Compound: LiCrTe
Source: the Alexandria database
Functional: meta-GGA SCAN
Structure: PBEsol geometry

Summary:
- Raw total energy: -19.639 eV per atom
- Raw formation energy: -6.85 kcal/mol of atoms
- DOS at the Fermi energy: 0.4 states/eV per cell
- ρ: 4.37 g/cm3

Unit cell a=4.018 b=4.512 c=4.512 alpha=120.00 beta=90.00 gamma=90.00
Last column: magnetic moment on the atom in μB.
Positions (direct):
Te 0.251 0.667 0.333  -0.08
Li 0.639 0.333 0.667  0.02
Cr 0.110 0.000 0.000  4.17

(2)
Compound: LiTlCr2
Source: the Alexandria database
Functional: meta-GGA SCAN
Structure: PBEsol geometry

Summary:
- Raw total energy: -27.272 eV per atom
- DOS at the Fermi energy: 2.2 states/eV per cell
- Energy relative to the elements: 0.607 eV/atom
- ρ: 8.78 g/cm3

Unit cell a=2.814 b=4.646 c=4.611 alpha=90.00 beta=98.16 gamma=90.00
Last column: magnetic moment on the atom in μB.
Positions (direct):
Li 0.500 0.500 0.000  0.00
Cr 0.184 0.000 0.193  0.59
Cr 0.816 0.000 0.807  0.59
Tl 0.000 0.500 0.500  -0.01

(3)
Compound: LiTlCr2
Source: the Alexandria database
Functional: meta-GGA SCAN
Structure: PBEsol geometry

Summary:
- Raw total energy: -27.753 eV per atom
- DOS at the Fermi energy: 1.5 states/eV per cell
- Energy relative to the elements: 0.127 eV/atom
- ρ: 8.66 g/cm3

Unit cell a=3.066 b=3.066 c=6.437 alpha=90.00 beta=90.00 gamma=90.00
Last column: magnetic moment on the atom in μB.
Positions (direct):
Li 0.000 0.000 0.481  0.01
Cr 0.500 0.500 0.213  2.88
Cr 0.000 0.000 0.059  -2.77
Tl 0.500 0.500 0.747  0.01

(4)
Compound: LiTl2Cr
Source: the Alexandria database
Functional: meta-GGA SCAN
Structure: PBEsol geometry

Summary:
- Raw total energy: -41.288 eV per atom
- DOS at the Fermi energy: 1.3 states/eV per cell
- Energy relative to the elements: 0.084 eV/atom
- ρ: 9.34 g/cm3

Unit cell a=3.735 b=3.735 c=5.961 alpha=90.00 beta=90.00 gamma=90.00
Last column: magnetic moment on the atom in μB.
Positions (direct):
Cr 0.000 0.000 0.491  3.98
Tl 0.000 0.000 0.972  -0.05
Tl 0.500 0.500 0.284  0.03
Li 0.500 0.500 0.753  0.00

- Which formula does entry 4 have?
  LiTl2Cr

- Among the records above, which one has the highest raw total energy?
  LiCrTe